A relaxed structure of Ce4Ge2Au5. Source: Alexandria, functional GGA-PBE.

Unit cell a=3.988 b=7.586 c=8.658 alpha=88.24 beta=90.00 gamma=90.00
Site moments in Bohr magnetons follow the coordinates.
Positions (direct):
Au (0.000, 0.500, 0.000)  0.00
Au (0.000, 0.573, 0.348)  0.00
Ge (0.000, 0.932, 0.373)  -0.02
Au (0.000, 0.134, 0.119)  0.00
Ge (0.000, 0.068, 0.627)  -0.02
Ce (0.500, 0.784, 0.140)  0.64
Ce (0.500, 0.746, 0.613)  0.69
Au (0.000, 0.427, 0.652)  0.00
Ce (0.500, 0.216, 0.860)  0.64
Au (0.000, 0.866, 0.881)  0.00
Ce (0.500, 0.254, 0.387)  0.69

Results
Size of the total moment in μB/f.u.: 3.0
Total DFT energy (no corrections) in eV per atom: -5.127
Calculated density in kg/m³: 10722

---

A relaxed structure of Ce3Ge3Au8. Source: Alexandria, functional GGA-PBE.

Unit cell a=4.719 b=8.739 c=8.433 alpha=63.80 beta=73.75 gamma=74.34
Site moments in Bohr magnetons follow the coordinates.
Positions (direct):
Au (0.651, 0.978, 0.720)  0.00
Au (0.144, 0.576, 0.136)  -0.01
Au (0.135, 0.158, 0.572)  0.00
Ce (0.295, 0.711, 0.699)  0.68
Ge (0.666, 0.688, 0.980)  -0.01
Au (0.349, 0.022, 0.280)  0.00
Au (0.865, 0.842, 0.428)  0.00
Ge (0.334, 0.312, 0.020)  -0.01
Ce (0.705, 0.289, 0.301)  0.68
Au (0.495, 0.331, 0.680)  0.00
Au (0.856, 0.424, 0.864)  -0.01
Au (0.505, 0.669, 0.320)  0.00
Ge (0.000, 0.500, 0.500)  -0.01
Ce (0.000, 0.000, 0.000)  0.90

Results
Size of the total moment in μB/f.u.: 2.5
Total DFT energy (no corrections) in eV per atom: -4.659
Calculated density in kg/m³: 12453

---

A relaxed structure of CeGeAu. Source: Alexandria, functional GGA-PBE.

Unit cell a=3.983 b=7.419 c=9.587 alpha=90.00 beta=90.00 gamma=90.00
Positions (direct):
Ce (0.750, 0.192, 0.651)
Ge (0.250, 0.385, 0.852)
Au (0.250, 0.031, 0.896)
Ge (0.250, 0.885, 0.648)
Ce (0.250, 0.308, 0.151)
Au (0.750, 0.969, 0.104)
Au (0.250, 0.531, 0.604)
Ge (0.750, 0.115, 0.352)
Ge (0.750, 0.615, 0.148)
Ce (0.750, 0.692, 0.849)
Ce (0.250, 0.808, 0.349)
Au (0.750, 0.469, 0.396)

Results
Size of the total moment in μB/f.u.: 0.0
Total DFT energy (no corrections) in eV per atom: -5.178
Calculated density in kg/m³: 9606

---

A relaxed structure of Ce2Ge4Au3. Source: Alexandria, functional GGA-PBE.

Unit cell a=6.059 b=7.987 c=8.223 alpha=90.00 beta=111.62 gamma=90.00
Site moments in Bohr magnetons follow the coordinates.
Positions (direct):
Au (0.030, 0.750, 0.560)  0.01
Au (0.500, 0.500, 0.000)  0.01
Au (0.530, 0.750, 0.560)  0.01
Ce (0.888, 0.421, 0.775)  0.63
Ge (0.300, 0.250, 0.100)  0.00
Au (0.470, 0.250, 0.440)  0.01
Ge (0.179, 0.964, 0.357)  0.01
Ge (0.700, 0.750, 0.900)  0.00
Ge (0.800, 0.250, 0.100)  0.00
Ge (0.321, 0.464, 0.643)  0.01
Au (0.000, 0.000, 0.000)  0.01
Ge (0.821, 0.036, 0.643)  0.01
Ce (0.112, 0.579, 0.225)  0.63
Ge (0.200, 0.750, 0.900)  0.00
Ce (0.612, 0.921, 0.225)  0.63
Ce (0.388, 0.079, 0.775)  0.63
Ge (0.679, 0.536, 0.357)  0.01
Au (0.970, 0.250, 0.440)  0.01

Results
Size of the total moment in μB/f.u.: 1.5
Total DFT energy (no corrections) in eV per atom: -4.950
Calculated density in kg/m³: 10428

---

A relaxed structure of CeGeAu. Source: Alexandria, functional GGA-PBE.

Unit cell a=4.738 b=4.738 c=4.738 alpha=60.00 beta=60.00 gamma=60.00
Site moments in Bohr magnetons follow the coordinates.
Positions (direct):
Ge (0.000, 0.000, 0.000)  0.02
Au (0.750, 0.750, 0.750)  0.01
Ce (0.500, 0.500, 0.500)  0.82

Results
Size of the total moment in μB/f.u.: 1.0
Total DFT energy (no corrections) in eV per atom: -5.206
Calculated density in kg/m³: 9048

---

A relaxed structure of CeGe2Au3. Source: Alexandria, functional GGA-PBE.

Unit cell a=4.498 b=8.681 c=7.309 alpha=115.83 beta=90.00 gamma=105.01
Site moments in Bohr magnetons follow the coordinates.
Positions (direct):
Ce (0.140, 0.280, 0.070)  0.62
Ce (0.860, 0.720, 0.930)  0.62
Au (0.314, 0.629, 0.578)  -0.01
Au (0.057, 0.113, 0.393)  -0.01
Au (0.686, 0.371, 0.422)  -0.01
Au (0.370, 0.741, 0.255)  -0.01
Ge (0.491, 0.981, 0.817)  -0.01
Au (0.630, 0.259, 0.745)  -0.01
Ge (0.789, 0.578, 0.253)  -0.01
Ge (0.211, 0.422, 0.747)  -0.01
Ge (0.509, 0.019, 0.183)  -0.01
Au (0.943, 0.887, 0.607)  -0.01

Results
Distance to the lowest polymorph of the same formula in meV/atom: 0.0
Size of the total moment in μB/f.u.: 0.6
Calculated density in kg/m³: 11829

---

A relaxed structure of Ce2GeAu. Source: Alexandria, functional GGA-PBE.

Unit cell a=3.847 b=3.847 c=6.472 alpha=90.00 beta=90.00 gamma=90.00
Site moments in Bohr magnetons follow the coordinates.
Positions (direct):
Ge (0.500, 0.500, 0.000)  -0.03
Au (0.500, 0.500, 0.500)  0.02
Ce (0.000, 0.000, 0.777)  0.75
Ce (0.000, 0.000, 0.223)  0.75

Results
Size of the total moment in μB/f.u.: 1.8
Total DFT energy (no corrections) in eV per atom: -5.572
Calculated density in kg/m³: 9530

---

A relaxed structure of Ce2GeAu. Source: Alexandria, functional GGA-PBE.

Unit cell a=7.234 b=6.334 c=6.334 alpha=65.24 beta=55.18 gamma=55.18
Site moments in Bohr magnetons follow the coordinates.
Positions (direct):
Ge (0.750, 0.218, 0.282)  -0.04
Ce (0.227, 0.273, 0.773)  0.82
Ce (0.773, 0.727, 0.227)  0.82
Au (0.250, 0.206, 0.294)  0.02
Ce (0.273, 0.727, 0.227)  0.82
Au (0.750, 0.794, 0.706)  0.02
Ge (0.250, 0.782, 0.718)  -0.04
Ce (0.727, 0.273, 0.773)  0.82

Results
Size of the total moment in μB/f.u.: 2.1
Total DFT energy (no corrections) in eV per atom: -5.558
Calculated density in kg/m³: 9426

---

A relaxed structure of Ce2GeAu5. Source: Alexandria, functional GGA-PBE.

Unit cell a=4.511 b=8.552 c=9.662 alpha=90.00 beta=90.00 gamma=105.29
Site moments in Bohr magnetons follow the coordinates.
Positions (direct):
Au (0.189, 0.377, 0.606)  0.01
Ce (0.798, 0.596, 0.750)  0.76
Au (0.600, 0.200, 0.750)  0.00
Ce (0.202, 0.404, 0.250)  0.76
Au (0.361, 0.721, 0.964)  0.00
Ge (0.552, 0.105, 0.250)  -0.01
Au (0.811, 0.623, 0.106)  0.01
Au (0.639, 0.279, 0.036)  0.00
Ce (0.000, 0.000, 0.500)  0.88
Au (0.361, 0.721, 0.536)  0.00
Au (0.400, 0.800, 0.250)  0.00
Au (0.639, 0.279, 0.464)  0.00
Au (0.811, 0.623, 0.394)  0.01
Au (0.189, 0.377, 0.894)  0.01
Ce (0.000, 0.000, 0.000)  0.88
Ge (0.448, 0.895, 0.750)  -0.01

Results
Size of the total moment in μB/f.u.: 1.9
Total DFT energy (no corrections) in eV per atom: -4.646
Calculated density in kg/m³: 12356

---

A relaxed structure of Ce3Ge2Au. Source: Alexandria, functional GGA-PBE.

Unit cell a=4.373 b=11.287 c=12.205 alpha=90.00 beta=90.00 gamma=90.00
Site moments in Bohr magnetons follow the coordinates.
Positions (direct):
Ce (0.250, 0.384, 0.044)  0.82
Ce (0.250, 0.116, 0.544)  0.82
Ge (0.250, 0.692, 0.489)  -0.02
Ce (0.250, 0.799, 0.712)  0.80
Au (0.750, 0.870, 0.870)  0.01
Ce (0.750, 0.616, 0.956)  0.82
Ce (0.250, 0.701, 0.212)  0.80
Ce (0.750, 0.568, 0.628)  0.68
Ge (0.250, 0.515, 0.809)  -0.03
Au (0.750, 0.630, 0.370)  0.01
Ce (0.750, 0.299, 0.788)  0.80
Ce (0.750, 0.932, 0.128)  0.68
Ce (0.750, 0.884, 0.456)  0.82
Ge (0.750, 0.485, 0.191)  -0.03
Au (0.250, 0.370, 0.630)  0.01
Ce (0.750, 0.201, 0.288)  0.80
Ge (0.750, 0.015, 0.691)  -0.03
Ge (0.750, 0.192, 0.011)  -0.02
Ge (0.250, 0.808, 0.989)  -0.02
Ce (0.250, 0.432, 0.372)  0.68
Ge (0.750, 0.308, 0.511)  -0.02
Ge (0.250, 0.985, 0.309)  -0.03
Ce (0.250, 0.068, 0.872)  0.68
Au (0.250, 0.130, 0.130)  0.01

Results
Size of the total moment in μB/f.u.: 3.0
Total DFT energy (no corrections) in eV per atom: -5.700
Calculated density in kg/m³: 8408

---

A relaxed structure of CeGeAu4. Source: Alexandria, functional GGA-PBE.

Unit cell a=5.127 b=7.285 c=7.483 alpha=90.00 beta=110.04 gamma=90.00
Site moments in Bohr magnetons follow the coordinates.
Positions (direct):
Au (0.213, 0.437, 0.426)  0.01
Ge (0.867, 0.250, 0.735)  0.00
Au (0.405, 0.250, 0.809)  0.01
Au (0.787, 0.563, 0.574)  0.01
Au (0.213, 0.063, 0.426)  0.01
Au (0.595, 0.750, 0.191)  0.01
Ce (0.382, 0.750, 0.764)  0.97
Au (0.000, 0.000, 0.000)  0.01
Au (0.000, 0.500, 0.000)  0.01
Au (0.787, 0.937, 0.574)  0.01
Ce (0.618, 0.250, 0.236)  0.97
Ge (0.133, 0.750, 0.265)  0.00

Results
Distance to the lowest polymorph of the same formula in meV/atom: 70.8
Size of the total moment in μB/f.u.: 1.2
Calculated density in kg/m³: 12654

---

A relaxed structure of CeGe2Au5. Source: Alexandria, functional GGA-PBE.

Unit cell a=4.355 b=6.677 c=6.677 alpha=67.18 beta=70.97 gamma=70.97
Site moments in Bohr magnetons follow the coordinates.
Positions (direct):
Ge (0.252, 0.248, 0.248)  0.00
Ge (0.748, 0.752, 0.752)  0.00
Au (0.640, 0.164, 0.557)  0.00
Au (0.000, 0.500, 0.500)  0.00
Au (0.360, 0.443, 0.836)  0.00
Au (0.360, 0.836, 0.443)  0.00
Ce (0.000, 0.000, 0.000)  0.94
Au (0.640, 0.557, 0.164)  0.00

Results
Size of the total moment in μB/f.u.: 1.0
Total DFT energy (no corrections) in eV per atom: -4.221
Calculated density in kg/m³: 12809

---

A relaxed structure of CeGeAu4. Source: Alexandria, functional GGA-PBE.

Unit cell a=5.634 b=5.634 c=5.634 alpha=60.00 beta=60.00 gamma=60.00
Site moments in Bohr magnetons follow the coordinates.
Positions (direct):
Au (0.625, 0.625, 0.124)  -0.01
Au (0.124, 0.625, 0.625)  -0.01
Au (0.625, 0.124, 0.625)  -0.01
Ge (0.000, 0.000, 0.000)  -0.01
Au (0.625, 0.625, 0.625)  -0.01
Ce (0.250, 0.250, 0.250)  0.80

Results
Distance to the lowest polymorph of the same formula in meV/atom: 82.2
Size of the total moment in μB/f.u.: 0.8
Calculated density in kg/m³: 13142

---

A relaxed structure of Ce3Ge4Au7. Source: Alexandria, functional GGA-PBE.

Unit cell a=4.490 b=8.537 c=8.632 alpha=67.29 beta=74.93 gamma=74.75
Site moments in Bohr magnetons follow the coordinates.
Positions (direct):
Au (0.338, 0.806, 0.519)  -0.01
Au (0.852, 0.381, 0.915)  -0.01
Ge (0.864, 0.922, 0.350)  -0.01
Ge (0.334, 0.542, 0.791)  -0.01
Ge (0.666, 0.458, 0.209)  -0.01
Au (0.148, 0.619, 0.085)  -0.01
Ce (0.305, 0.192, 0.198)  0.49
Ce (0.000, 0.500, 0.500)  0.75
Au (0.489, 0.207, 0.815)  0.00
Ce (0.695, 0.808, 0.802)  0.49
Au (0.662, 0.194, 0.481)  -0.01
Ge (0.136, 0.078, 0.650)  -0.01
Au (0.511, 0.793, 0.185)  0.00
Au (0.000, 0.000, 0.000)  0.00

Results
Size of the total moment in μB/f.u.: 1.8
Total DFT energy (no corrections) in eV per atom: -4.774
Calculated density in kg/m³: 11974

---

A relaxed structure of Ce8Ge2Au3. Source: Alexandria, functional GGA-PBE.

Unit cell a=4.579 b=10.209 c=8.796 alpha=125.47 beta=100.19 gamma=90.00
Site moments in Bohr magnetons follow the coordinates.
Positions (direct):
Ce (0.611, 0.906, 0.298)  0.70
Au (0.000, 0.775, 0.000)  0.00
Au (0.500, 0.000, 0.000)  0.01
Ge (0.357, 0.708, 0.417)  -0.02
Ce (0.389, 0.094, 0.702)  0.70
Ce (0.770, 0.564, 0.129)  0.57
Ce (0.230, 0.436, 0.871)  0.57
Ce (0.611, 0.392, 0.298)  0.70
Au (0.000, 0.225, 0.000)  0.00
Ce (0.934, 0.845, 0.690)  0.68
Ce (0.389, 0.608, 0.702)  0.70
Ge (0.643, 0.292, 0.583)  -0.02
Ce (0.066, 0.155, 0.310)  0.68

Results
Size of the total moment in μB/f.u.: 6.4
Total DFT energy (no corrections) in eV per atom: -5.515
Calculated density in kg/m³: 9434

---

A relaxed structure of Ce2Ge2Au3. Source: Alexandria, functional GGA-PBE.

Unit cell a=4.525 b=3.430 c=10.220 alpha=90.00 beta=77.23 gamma=90.00
Site moments in Bohr magnetons follow the coordinates.
Positions (direct):
Ge (0.573, 0.000, 0.854)  -0.01
Ge (0.427, 0.000, 0.146)  -0.01
Ce (0.855, 0.500, 0.289)  0.69
Au (0.289, 0.000, 0.421)  0.00
Ce (0.145, 0.500, 0.711)  0.69
Au (0.000, 0.000, 0.000)  0.00
Au (0.711, 0.000, 0.579)  0.00

Results
Size of the total moment in μB/f.u.: 1.7
Total DFT energy (no corrections) in eV per atom: -4.952
Calculated density in kg/m³: 10912

---

A relaxed structure of Ce2Ge6Au. Source: Alexandria, functional GGA-PBE.

Unit cell a=11.343 b=11.343 c=4.212 alpha=90.00 beta=90.00 gamma=158.93
Site moments in Bohr magnetons follow the coordinates.
Positions (direct):
Ge (0.491, 0.509, 0.500)  0.00
Ge (0.673, 0.327, 0.000)  0.00
Ce (0.779, 0.221, 0.500)  0.36
Ce (0.119, 0.881, 0.500)  0.76
Ge (0.990, 0.010, 0.000)  0.00
Ge (0.378, 0.622, 0.500)  0.00
Au (0.560, 0.440, 0.000)  0.00
Ge (0.877, 0.123, 0.000)  0.01
Ge (0.241, 0.759, 0.000)  0.00

Results
Size of the total moment in μB/f.u.: 1.3
Total DFT energy (no corrections) in eV per atom: -5.148
Calculated density in kg/m³: 7783

---

A relaxed structure of CeGeAu3. Source: Alexandria, functional GGA-PBE.

Unit cell a=5.206 b=5.206 c=4.937 alpha=62.07 beta=62.07 gamma=79.08
Site moments in Bohr magnetons follow the coordinates.
Positions (direct):
Ge (0.302, 0.302, 0.594)  0.00
Au (0.911, 0.911, 0.991)  0.00
Au (0.886, 0.302, 0.307)  0.00
Au (0.302, 0.886, 0.307)  0.00
Ce (0.601, 0.601, 0.798)  -0.62

Results
Distance to the lowest polymorph of the same formula in meV/atom: 7.4
Size of the total moment in μB/f.u.: 0.7
Calculated density in kg/m³: 12787

---

A relaxed structure of CeGe2Au. Source: Alexandria, functional GGA-PBE.

Unit cell a=4.158 b=4.467 c=4.467 alpha=90.00 beta=90.00 gamma=90.00
Site moments in Bohr magnetons follow the coordinates.
Positions (direct):
Ge (0.000, 0.000, 0.500)  0.02
Au (0.500, 0.000, 0.000)  0.01
Ce (0.500, 0.500, 0.500)  0.37
Ge (0.000, 0.500, 0.000)  0.02

Results
Size of the total moment in μB/f.u.: 0.5
Total DFT energy (no corrections) in eV per atom: -5.111
Calculated density in kg/m³: 9651

---

A relaxed structure of Ce2Ge3Au2. Source: Alexandria, functional GGA-PBE.

Unit cell a=4.393 b=5.704 c=6.841 alpha=105.10 beta=90.00 gamma=112.65
Site moments in Bohr magnetons follow the coordinates.
Positions (direct):
Ce (0.134, 0.267, 0.783)  0.44
Au (0.169, 0.338, 0.260)  -0.01
Ge (0.500, 0.000, 0.000)  -0.01
Ge (0.600, 0.199, 0.437)  -0.01
Au (0.831, 0.662, 0.740)  -0.01
Ge (0.400, 0.801, 0.563)  -0.01
Ce (0.866, 0.733, 0.217)  0.44

Results
Distance to the lowest polymorph of the same formula in meV/atom: 28.8
Size of the total moment in μB/f.u.: 0.9
Calculated density in kg/m³: 9761

---

A relaxed structure of Ce3Ge2Au9. Source: Alexandria, functional GGA-PBE.

Unit cell a=8.412 b=8.412 c=8.412 alpha=147.32 beta=105.81 gamma=83.44
Site moments in Bohr magnetons follow the coordinates.
Positions (direct):
Au (0.147, 0.870, 0.277)  0.00
Ce (0.309, 0.309, 0.000)  0.78
Au (0.406, 0.130, 0.277)  0.00
Ce (0.691, 0.691, 0.000)  0.78
Au (0.710, 0.342, 0.368)  0.00
Au (0.594, 0.870, 0.723)  0.00
Au (0.853, 0.130, 0.723)  0.00
Ge (0.301, 0.500, 0.801)  0.00
Ge (0.699, 0.500, 0.199)  0.00
Au (0.975, 0.342, 0.632)  0.00
Au (0.500, 0.000, 0.500)  0.00
Ce (0.000, 0.000, 0.000)  0.86
Au (0.025, 0.658, 0.368)  0.00
Au (0.290, 0.658, 0.632)  0.00

Results
Size of the total moment in μB/f.u.: 2.7
Total DFT energy (no corrections) in eV per atom: -4.501
Calculated density in kg/m³: 12874

---

A relaxed structure of Ce3Ge3Au. Source: Alexandria, functional GGA-PBE.

Unit cell a=4.451 b=5.915 c=13.666 alpha=83.85 beta=80.63 gamma=67.90
Site moments in Bohr magnetons follow the coordinates.
Positions (direct):
Ge (0.883, 0.160, 0.074)  -0.01
Ge (0.979, 0.816, 0.226)  -0.01
Au (0.239, 0.913, 0.609)  -0.01
Ce (0.530, 0.319, 0.621)  0.60
Ge (0.021, 0.184, 0.774)  -0.01
Ce (0.261, 0.253, 0.225)  0.70
Ge (0.872, 0.710, 0.546)  -0.01
Au (0.761, 0.087, 0.391)  -0.01
Ge (0.117, 0.840, 0.926)  -0.01
Ge (0.128, 0.290, 0.454)  -0.01
Ce (0.739, 0.747, 0.775)  0.70
Ce (0.397, 0.282, 0.924)  0.67
Ce (0.470, 0.681, 0.379)  0.60
Ce (0.603, 0.718, 0.076)  0.67

Results
Size of the total moment in μB/f.u.: 2.4
Total DFT energy (no corrections) in eV per atom: -5.704
Calculated density in kg/m³: 8444